A plane-wave DFT calculation with PBE+U was carried out for a geometry-optimized WS2F structure.

Output
As for the total energy: -4.51 eV/atom. The calculation puts the energy above the most stable polymorph in this dataset at 265 meV per atom. The crystal system is tetragonal.

Cell: 6.070 6.070 9.644 Å, 90.00 90.00 90.00°
Space group I-42d (No. 122)
Asymmetric unit:
W: 0.000 0.000 0.000 x4
S: 0.209 0.250 0.125 x8
F: 0.000 0.000 0.500 x4